1.
TmIn3Hg2 | PBE | relaxed

Unit cell a=4.654 b=4.601 c=7.259 alpha=108.47 beta=90.00 gamma=90.00
Atoms (fractional coordinates):
Hg 0.000 0.664 0.329
Hg 0.000 0.336 0.671
In 0.500 0.829 0.658
In 0.500 0.171 0.342
In 0.500 0.500 0.000
Tm 0.000 0.000 0.000

Output
- energy of formation from the pure elements (eV/atom) = -0.19
- space-group type = Cmmm, No. 65

---

2.
KNaZn2As2 | PBE | relaxed

Unit cell a=4.240 b=4.240 c=9.561 alpha=90.00 beta=90.00 gamma=120.00
Atoms (fractional coordinates):
Na 0.000 0.000 0.500
As 0.333 0.667 0.269
As 0.667 0.333 0.731
Zn 0.667 0.333 0.280
Zn 0.333 0.667 0.720
K 0.000 0.000 0.000

Output
- energy of formation from the pure elements (eV/atom) = -0.45
- space-group type = P-3m1, No. 164

---

3.
HfH | PBE | relaxed

Unit cell a=6.746 b=8.771 c=6.697 alpha=90.00 beta=90.00 gamma=90.00
Atoms (fractional coordinates):
Hf 0.014 0.750 0.750
Hf 0.986 0.750 0.250
Hf 0.514 0.750 0.250
Hf 0.486 0.250 0.250
Hf 0.514 0.250 0.750
Hf 0.236 0.500 0.000
Hf 0.764 0.500 0.000
Hf 0.264 0.000 0.000
Hf 0.236 0.000 0.500
Hf 0.014 0.250 0.250
Hf 0.736 0.000 0.000
Hf 0.764 0.000 0.500
Hf 0.264 0.500 0.500
Hf 0.736 0.500 0.500
Hf 0.486 0.750 0.750
Hf 0.986 0.250 0.750
H 0.750 0.872 0.750
H 0.500 0.622 0.000
H 0.000 0.122 0.000
H 0.750 0.128 0.250
H 0.500 0.122 0.500
H 0.000 0.622 0.500
H 0.000 0.878 0.000
H 0.500 0.378 0.000
H 0.500 0.878 0.500
H 0.750 0.628 0.750
H 0.750 0.372 0.250
H 0.250 0.128 0.750
H 0.000 0.378 0.500
H 0.250 0.372 0.750
H 0.250 0.628 0.250
H 0.250 0.872 0.250

Output
- space-group type = Fddd, No. 70
- total DFT energy (no corrections) (eV per cell) = -224.89

---

4.
Tb3CePr2Y6 | PBE | relaxed

Unit cell a=6.234 b=6.234 c=11.859 alpha=95.02 beta=95.02 gamma=119.99
Atoms (fractional coordinates):
Y 0.753 0.753 0.252
Y 0.247 0.247 0.748
Y 0.585 0.916 0.748
Y 0.415 0.084 0.252
Y 0.916 0.585 0.748
Y 0.084 0.415 0.252
Ce 0.000 0.000 0.000
Tb 0.833 0.167 0.500
Tb 0.167 0.833 0.500
Tb 0.500 0.500 0.500
Pr 0.667 0.333 0.000
Pr 0.333 0.667 0.000

Output
- energy of formation from the pure elements (eV/atom) = 0.04
- space-group type = C2/m, No. 12

---

5.
TbSc2Hg2 | PBE | relaxed

Unit cell a=4.994 b=4.994 c=6.102 alpha=90.00 beta=90.00 gamma=120.00
Atoms (fractional coordinates):
Sc 0.333 0.667 0.655
Sc 0.667 0.333 0.345
Hg 0.667 0.333 0.812
Hg 0.333 0.667 0.188
Tb 0.000 0.000 0.000

Output
- energy of formation from the pure elements (eV/atom) = -0.19
- space-group type = P-3m1, No. 164
- energy above the most stable polymorph in this dataset (meV per atom) = 160

---

6.
Np2U5Ge3 | PBE | relaxed

Unit cell a=9.200 b=8.062 c=8.510 alpha=118.27 beta=122.72 gamma=90.00
Atoms (fractional coordinates):
Np 0.359 0.835 0.717
Np 0.641 0.165 0.283
Np 0.859 0.882 0.717
Np 0.141 0.118 0.283
Ge 0.250 0.000 0.000
Ge 0.133 0.764 0.266
Ge 0.867 0.236 0.734
Ge 0.367 0.498 0.734
Ge 0.633 0.502 0.266
Ge 0.750 0.000 0.000
U 0.510 0.760 0.521
U 0.881 0.604 0.761
U 0.750 0.500 0.000
U 0.119 0.396 0.239
U 0.990 0.240 0.479
U 0.619 0.843 0.239
U 0.381 0.157 0.761
U 0.010 0.760 0.521
U 0.490 0.240 0.479
U 0.250 0.500 0.000

Output
- energy of formation from the pure elements (eV/atom) = 0.13
- space-group type = Ibam, No. 72

---

7.
Cs2KHgCl4 | PBE | relaxed

Unit cell a=6.500 b=8.642 c=13.273 alpha=84.72 beta=75.83 gamma=67.91
Atoms (fractional coordinates):
Hg 0.250 0.500 0.500
Hg 0.500 0.000 0.000
Cs 0.186 0.000 0.628
Cs 0.564 0.500 0.872
Cs 0.936 0.500 0.128
Cs 0.814 0.000 0.372
Cl 0.566 0.255 0.106
Cl 0.927 0.745 0.894
Cl 0.571 0.245 0.606
Cl 0.179 0.255 0.894
Cl 0.823 0.755 0.606
Cl 0.422 0.755 0.394
Cl 0.328 0.745 0.106
Cl 0.184 0.245 0.394
K 0.750 0.500 0.500
K 0.000 0.000 0.000

Output
- space-group type = Fddd, No. 70
- E_form (uncorrected) (eV/atom) = -1.373

---

8.
Mn3OsPb | PBE | relaxed

Unit cell a=4.791 b=4.791 c=4.791 alpha=90.00 beta=90.00 gamma=90.00
Atoms (fractional coordinates):
Pb 0.500 0.500 0.500
Mn 0.000 0.500 0.000
Mn 0.000 0.000 0.500
Mn 0.500 0.000 0.000
Os 0.000 0.000 0.000

Output
- energy of formation from the pure elements (eV/atom) = 1.01
- space-group type = Pm-3m, No. 221
- energy above the most stable polymorph in this dataset (meV per atom) = 0

---

9.
DyGaRu2 | PBE | relaxed

Unit cell a=3.377 b=4.442 c=4.442 alpha=90.00 beta=90.00 gamma=90.00
Atoms (fractional coordinates):
Dy 0.500 0.000 0.000
Ru 0.000 0.500 0.000
Ru 0.000 0.000 0.500
Ga 0.500 0.500 0.500

Output
- energy of formation from the pure elements (eV/atom) = -0.27
- space-group type = P4/mmm, No. 123

---

10.
TaMoW4 | PBE | relaxed

Unit cell a=4.530 b=4.531 c=7.154 alpha=108.49 beta=71.54 gamma=60.01
Atoms (fractional coordinates):
W 0.499 0.834 0.167
W 0.501 0.166 0.833
W 0.998 0.335 0.669
W 0.002 0.665 0.331
Ta 0.500 0.500 0.500
Mo 0.000 0.000 0.000

Output
- energy of formation from the pure elements (eV/atom) = -0.08
- space-group type = P-3m1, No. 164
- energy above the most stable polymorph in this dataset (meV per atom) = 12

---

11.
Ba3Na2BiO6 | PBE | relaxed

Unit cell a=6.386 b=6.386 c=6.881 alpha=90.00 beta=90.00 gamma=120.00
Atoms (fractional coordinates):
Ba 0.333 0.667 0.592
Ba 0.667 0.333 0.408
Ba 0.000 0.000 0.000
Na 0.667 0.333 0.860
Na 0.333 0.667 0.140
O 0.163 0.837 0.306
O 0.163 0.326 0.306
O 0.674 0.837 0.306
O 0.837 0.163 0.694
O 0.837 0.674 0.694
O 0.326 0.163 0.694
Bi 0.000 0.000 0.500

Output
- space-group type = P-3m1, No. 164
- E_form (uncorrected) (eV/atom) = -1.764